# 1
# LuNi2Ge, relaxed, DFT GGA-PBE
# - calculated total energy (eV per atom) = -5.35
# - magnetic moment (μB per cell) = 0.01
data_LuNi2Ge
_chemical_formula_sum 'Lu4 Ni8 Ge4'
_cell_length_a 6.263
_cell_length_b 6.263
_cell_length_c 6.263
_cell_angle_alpha 90.00
_cell_angle_beta 90.00
_cell_angle_gamma 90.00
_space_group_name_H-M_alt 'F -4 3 m'
_space_group_IT_number 216
_space_group_name_Hall 'F -4 2 3'
loop_
_atom_site_label
_atom_site_type_symbol
_atom_site_fract_x
_atom_site_fract_y
_atom_site_fract_z
Lu1 Lu 0.000 0.000 0.000
Ni1 Ni 0.000 0.000 0.500
Ni2 Ni 0.250 0.250 0.250
Ge1 Ge 0.250 0.250 0.750

# 2
# HoHgPt, relaxed, DFT GGA-PBE
# - calculated total energy (eV per atom) = -4.41
# - magnetic moment (μB per cell) = 0.00
# - energy of formation (meV per atom) = -764
data_HoHgPt
_chemical_formula_sum 'Ho4 Hg4 Pt4'
_cell_length_a 6.638
_cell_length_b 6.638
_cell_length_c 6.638
_cell_angle_alpha 90.00
_cell_angle_beta 90.00
_cell_angle_gamma 90.00
_space_group_name_H-M_alt 'F -4 3 m'
_space_group_IT_number 216
_space_group_name_Hall 'F -4 2 3'
loop_
_atom_site_label
_atom_site_type_symbol
_atom_site_fract_x
_atom_site_fract_y
_atom_site_fract_z
Ho1 Ho 0.000 0.000 0.000
Hg1 Hg 0.000 0.000 0.500
Pt1 Pt 0.250 0.250 0.750

# 3
# PmNpTe, relaxed, DFT GGA-PBE
# - calculated total energy (eV per atom) = -7.00
# - E above lowest polymorph (kJ/mol of formula units) = 0
# - magnetic moment (μB per cell) = 23.02
data_PmNpTe
_chemical_formula_sum 'Pm4 Np4 Te4'
_cell_length_a 7.289
_cell_length_b 7.289
_cell_length_c 7.289
_cell_angle_alpha 90.00
_cell_angle_beta 90.00
_cell_angle_gamma 90.00
_space_group_name_H-M_alt 'F -4 3 m'
_space_group_IT_number 216
_space_group_name_Hall 'F -4 2 3'
loop_
_atom_site_label
_atom_site_type_symbol
_atom_site_fract_x
_atom_site_fract_y
_atom_site_fract_z
Pm1 Pm 0.000 0.000 0.000
Np1 Np 0.000 0.000 0.500
Te1 Te 0.250 0.250 0.750

# 4
# La2NdCo2B2C3, relaxed, DFT GGA-PBE
# - calculated total energy (eV per atom) = -7.08
# - magnetic moment (μB per cell) = 3.81
data_La2NdCo2B2C3
_chemical_formula_sum 'La4 Nd2 Co4 B4 C6'
_cell_length_a 3.754
_cell_length_b 3.754
_cell_length_c 21.050
_cell_angle_alpha 90.00
_cell_angle_beta 90.00
_cell_angle_gamma 90.00
_space_group_name_H-M_alt 'I 4/m m m'
_space_group_IT_number 139
_space_group_name_Hall '-I 4 2'
loop_
_atom_site_label
_atom_site_type_symbol
_atom_site_fract_x
_atom_site_fract_y
_atom_site_fract_z
La1 La 0.000 0.000 0.129
Nd1 Nd 0.000 0.000 0.500
Co1 Co 0.000 0.500 0.250
B1 B 0.000 0.000 0.301
C1 C 0.000 0.000 0.000
C2 C 0.000 0.000 0.372

# 5
# HoHgAsO, relaxed, DFT GGA-PBE
# - calculated total energy (eV per atom) = -4.66
# - E above lowest polymorph (kJ/mol of formula units) = 194
# - magnetic moment (μB per cell) = 0.00
data_HoHgAsO
_chemical_formula_sum 'Ho2 Hg2 As2 O2'
_cell_length_a 5.835
_cell_length_b 5.835
_cell_length_c 4.814
_cell_angle_alpha 90.00
_cell_angle_beta 90.00
_cell_angle_gamma 90.00
_space_group_name_H-M_alt 'P 4/n m m'
_space_group_IT_number 129
loop_
_space_group_symop_operation_xyz
'x,y,z'
'-x,-y,-z'
'-y+1/2,x,z'
'y+1/2,-x,-z'
'-x+1/2,-y+1/2,z'
'x+1/2,y+1/2,-z'
'y,-x+1/2,z'
'-y,x+1/2,-z'
'x+1/2,-y,-z'
'-x+1/2,y,z'
'-y,-x,-z'
'y,x,z'
'-x,y+1/2,-z'
'x,-y+1/2,z'
'y+1/2,x+1/2,-z'
'-y+1/2,-x+1/2,z'
loop_
_atom_site_label
_atom_site_type_symbol
_atom_site_fract_x
_atom_site_fract_y
_atom_site_fract_z
Ho1 Ho 0.250 0.750 0.000
Hg1 Hg 0.250 0.250 0.489
As1 As 0.250 0.250 0.989
O1 O 0.250 0.750 0.500

# 6
# NdTc4B4, relaxed, DFT GGA-PBE
# - calculated total energy (eV per atom) = -8.50
# - magnetic moment (μB per cell) = 0.01
data_NdTc4B4
_chemical_formula_sum 'Nd2 Tc8 B8'
_cell_length_a 7.449
_cell_length_b 7.449
_cell_length_c 4.221
_cell_angle_alpha 90.00
_cell_angle_beta 90.00
_cell_angle_gamma 90.00
_space_group_name_H-M_alt 'P 42/n'
_space_group_IT_number 86
loop_
_space_group_symop_operation_xyz
'x,y,z'
'-x,-y,-z'
'-y,x+1/2,z+1/2'
'y,-x+1/2,-z+1/2'
'-x+1/2,-y+1/2,z'
'x+1/2,y+1/2,-z'
'y+1/2,-x,z+1/2'
'-y+1/2,x,-z+1/2'
loop_
_atom_site_label
_atom_site_type_symbol
_atom_site_fract_x
_atom_site_fract_y
_atom_site_fract_z
Nd1 Nd 0.250 0.250 0.250
Tc1 Tc 0.116 0.628 0.121
B1 B 0.059 0.922 0.123

# 7
# Sm3Ta3Mo2N12, relaxed, DFT GGA-PBE
# - calculated total energy (eV per atom) = -9.44
# - magnetic moment (μB per cell) = 0.04
data_Sm3Ta3Mo2N12
_chemical_formula_sum 'Sm24 Ta24 Mo16 N96'
_cell_length_a 12.916
_cell_length_b 12.916
_cell_length_c 12.916
_cell_angle_alpha 90.00
_cell_angle_beta 90.00
_cell_angle_gamma 90.00
_space_group_name_H-M_alt 'I a -3 d'
_space_group_IT_number 230
_space_group_name_Hall '-I 4bd 2c 3'
loop_
_atom_site_label
_atom_site_type_symbol
_atom_site_fract_x
_atom_site_fract_y
_atom_site_fract_z
Sm1 Sm 0.000 0.250 0.125
Ta1 Ta 0.000 0.250 0.375
Mo1 Mo 0.000 0.000 0.000
N1 N 0.031 0.052 0.646

# 8
# Rb2AlCdCl6, relaxed, DFT GGA-PBE
# - calculated total energy (eV per atom) = -3.15
data_Rb2AlCdCl6
_chemical_formula_sum 'Rb8 Al4 Cd4 Cl24'
_cell_length_a 15.478
_cell_length_b 10.792
_cell_length_c 7.335
_cell_angle_alpha 90.00
_cell_angle_beta 113.37
_cell_angle_gamma 90.00
_space_group_name_H-M_alt 'C 1 2/c 1'
_space_group_IT_number 15
loop_
_space_group_symop_operation_xyz
'x,y,z'
'-x,-y,-z'
'-x,y,-z+1/2'
'x,-y,z+1/2'
'x+1/2,y+1/2,z'
'-x+1/2,-y+1/2,-z'
'-x+1/2,y+1/2,-z+1/2'
'x+1/2,-y+1/2,z+1/2'
loop_
_atom_site_label
_atom_site_type_symbol
_atom_site_fract_x
_atom_site_fract_y
_atom_site_fract_z
Rb1 Rb 0.208 0.199 0.233
Al1 Al 0.000 0.497 0.750
Cd1 Cd 0.000 0.082 0.750
Cl1 Cl 0.000 0.351 0.003
Cl2 Cl 0.117 0.071 0.533
Cl3 Cl 0.158 0.497 0.886